This record from the Alexandria database describes a geometry-optimized Al4ZnCd structure. The functional is GGA-PBE.

a = 5.4212 Å, b = 5.4212 Å, c = 5.4212 Å
α = 60.00°, β = 60.00°, γ = 60.00°
Fractional coordinates of all 6 atoms:
Al (0.1247, 0.1247, 0.1247)
Al (0.1247, 0.1247, 0.6259)
Al (0.1247, 0.6259, 0.1247)
Al (0.6259, 0.1247, 0.1247)
Zn (0.7500, 0.7500, 0.7500)
Cd (0.5000, 0.5000, 0.5000)

Summary:
Its volume is 18.8 A^3/atom. Its total magnetic moment is 0.0 μB/cell. Its raw total energy is -15.844 eV for the cell shown. The calculation puts the formation enthalpy at 0 K at 0.219 eV/atom.


This record from the Alexandria database describes a geometry-optimized Al7Zn12Cd structure. The functional is GGA-PBE.

a = 8.1954 Å, b = 8.1954 Å, c = 8.1954 Å
α = 109.47°, β = 109.47°, γ = 109.47°
Fractional coordinates of all 20 atoms:
Al (0.0000, 0.0000, 0.5000)
Al (0.0000, 0.5000, 0.0000)
Al (0.0000, 0.5000, 0.5000)
Al (0.5000, 0.0000, 0.0000)
Al (0.5000, 0.0000, 0.5000)
Al (0.5000, 0.5000, 0.0000)
Al (0.5000, 0.5000, 0.5000)
Zn (0.1190, 0.2655, 0.8535)
Zn (0.1465, 0.4120, 0.2655)
Zn (0.1465, 0.8810, 0.7345)
Zn (0.2655, 0.1465, 0.4120)
Zn (0.2655, 0.8535, 0.1190)
Zn (0.4120, 0.2655, 0.1465)
Zn (0.5880, 0.7345, 0.8535)
Zn (0.7345, 0.1465, 0.8810)
Zn (0.7345, 0.8535, 0.5880)
Zn (0.8535, 0.1190, 0.2655)
Zn (0.8535, 0.5880, 0.7345)
Zn (0.8810, 0.7345, 0.1465)
Cd (0.0000, 0.0000, 0.0000)

Summary:
Its volume is 21.2 A^3/atom. Its total magnetic moment is 0.0 μB/cell. Its raw total energy is -35.243 eV for the cell shown. The calculation puts the formation enthalpy at 0 K at 0.358 eV/atom.


This record from the Alexandria database describes a geometry-optimized Al3ZnCd structure. The functional is GGA-PBE.

a = 5.1021 Å, b = 5.1021 Å, c = 5.1021 Å
α = 90.00°, β = 90.00°, γ = 90.00°
Fractional coordinates of all 5 atoms:
Al (0.0000, 0.0000, 0.5000)
Al (0.0000, 0.5000, 0.0000)
Al (0.5000, 0.0000, 0.0000)
Zn (0.5000, 0.5000, 0.5000)
Cd (0.0000, 0.0000, 0.0000)

Summary:
Its volume is 26.6 A^3/atom. Its total magnetic moment is 0.0 μB/cell. Its raw total energy is -9.343 eV for the cell shown. The calculation puts the formation enthalpy at 0 K at 0.815 eV/atom. The energy above the lowest structure with this stoichiometry is 345.1 meV/atom.


This record from the Alexandria database describes a geometry-optimized Al4Zn7Cd structure. The functional is GGA-PBE.

a = 2.8965 Å, b = 2.8965 Å, c = 26.9144 Å
α = 90.00°, β = 90.00°, γ = 120.00°
Fractional coordinates of all 12 atoms:
Al (0.3333, 0.6667, 0.1763)
Al (0.3333, 0.6667, 0.4193)
Al (0.6667, 0.3333, 0.5807)
Al (0.6667, 0.3333, 0.8237)
Zn (0.0000, 0.0000, 0.2580)
Zn (0.0000, 0.0000, 0.5000)
Zn (0.0000, 0.0000, 0.7420)
Zn (0.3333, 0.6667, 0.6618)
Zn (0.3333, 0.6667, 0.9059)
Zn (0.6667, 0.3333, 0.0941)
Zn (0.6667, 0.3333, 0.3382)
Cd (0.0000, 0.0000, 0.0000)

Summary:
Its volume is 16.3 A^3/atom. Its total magnetic moment is 0.0 μB/cell. Its raw total energy is -24.461 eV for the cell shown. The calculation puts the formation enthalpy at 0 K at 0.028 eV/atom.


This record from the Alexandria database describes a geometry-optimized AlZn4Cd structure. The functional is GGA-PBE.

a = 8.0528 Å, b = 8.0528 Å, c = 6.9501 Å
α = 90.00°, β = 90.00°, γ = 151.69°
Fractional coordinates of all 12 atoms:
Al (0.2464, 0.7536, 0.7500)
Al (0.7536, 0.2464, 0.2500)
Zn (0.0724, 0.9276, 0.7500)
Zn (0.3358, 0.6642, 0.0597)
Zn (0.3358, 0.6642, 0.4403)
Zn (0.5000, 0.5000, 0.0000)
Zn (0.5000, 0.5000, 0.5000)
Zn (0.6642, 0.3358, 0.5597)
Zn (0.6642, 0.3358, 0.9403)
Zn (0.9276, 0.0724, 0.2500)
Cd (0.1055, 0.8945, 0.2500)
Cd (0.8945, 0.1055, 0.7500)

Summary:
Its volume is 17.8 A^3/atom. Its total magnetic moment is 0.0 μB/cell. Its raw total energy is -18.313 eV for the cell shown. The calculation puts the formation enthalpy at 0 K at 0.100 eV/atom. The energy above the lowest structure with this stoichiometry is 9.7 meV/atom.


This record from the Alexandria database describes a geometry-optimized Al3Zn3Cd structure. The functional is GGA-PBE.

a = 7.1115 Å, b = 7.1115 Å, c = 7.1115 Å
α = 90.00°, β = 90.00°, γ = 90.00°
Fractional coordinates of all 14 atoms:
Al (0.0000, 0.2500, 0.5000)
Al (0.0000, 0.7500, 0.5000)
Al (0.2500, 0.5000, 0.0000)
Al (0.5000, 0.0000, 0.2500)
Al (0.5000, 0.0000, 0.7500)
Al (0.7500, 0.5000, 0.0000)
Zn (0.0000, 0.5000, 0.2500)
Zn (0.0000, 0.5000, 0.7500)
Zn (0.2500, 0.0000, 0.5000)
Zn (0.5000, 0.2500, 0.0000)
Zn (0.5000, 0.7500, 0.0000)
Zn (0.7500, 0.0000, 0.5000)
Cd (0.0000, 0.0000, 0.0000)
Cd (0.5000, 0.5000, 0.5000)

Summary:
Its volume is 25.7 A^3/atom. Its total magnetic moment is 0.0 μB/cell. Its raw total energy is -23.665 eV for the cell shown. The calculation puts the formation enthalpy at 0 K at 0.590 eV/atom.


This record from the Alexandria database describes a geometry-optimized Al2ZnCd2 structure. The functional is GGA-PBE.

a = 4.1493 Å, b = 4.1493 Å, c = 12.6873 Å
α = 90.00°, β = 90.00°, γ = 90.00°
Fractional coordinates of all 10 atoms:
Al (0.0000, 0.0000, 0.0984)
Al (0.0000, 0.0000, 0.9016)
Al (0.5000, 0.5000, 0.4016)
Al (0.5000, 0.5000, 0.5984)
Zn (0.0000, 0.0000, 0.5000)
Zn (0.5000, 0.5000, 0.0000)
Cd (0.0000, 0.5000, 0.2500)
Cd (0.0000, 0.5000, 0.7500)
Cd (0.5000, 0.0000, 0.2500)
Cd (0.5000, 0.0000, 0.7500)

Summary:
Its volume is 21.8 A^3/atom. Its total magnetic moment is 0.0 μB/cell. Its raw total energy is -18.184 eV for the cell shown. The calculation puts the formation enthalpy at 0 K at 0.299 eV/atom. The energy above the lowest structure with this stoichiometry is 68.0 meV/atom.


This record from the Alexandria database describes a geometry-optimized Al6Zn12Cd structure. The functional is GGA-PBE.

a = 7.2917 Å, b = 7.2917 Å, c = 7.2917 Å
α = 105.72°, β = 105.72°, γ = 105.72°
Fractional coordinates of all 19 atoms:
Al (0.2977, 0.6902, 0.6902)
Al (0.3098, 0.3098, 0.7023)
Al (0.3098, 0.7023, 0.3098)
Al (0.6902, 0.2977, 0.6902)
Al (0.6902, 0.6902, 0.2977)
Al (0.7023, 0.3098, 0.3098)
Zn (0.1052, 0.3462, 0.3462)
Zn (0.1100, 0.5000, 0.8900)
Zn (0.1100, 0.8900, 0.5000)
Zn (0.3462, 0.1052, 0.3462)
Zn (0.3462, 0.3462, 0.1052)
Zn (0.5000, 0.1100, 0.8900)
Zn (0.5000, 0.8900, 0.1100)
Zn (0.6538, 0.6538, 0.8948)
Zn (0.6538, 0.8948, 0.6538)
Zn (0.8900, 0.1100, 0.5000)
Zn (0.8900, 0.5000, 0.1100)
Zn (0.8948, 0.6538, 0.6538)
Cd (0.0000, 0.0000, 0.0000)

Summary:
Its volume is 17.6 A^3/atom. Its total magnetic moment is 0.0 μB/cell. Its raw total energy is -36.928 eV for the cell shown. The calculation puts the formation enthalpy at 0 K at 0.091 eV/atom.


This record from the Alexandria database describes a geometry-optimized AlZn12Cd2 structure. The functional is GGA-PBE.

a = 5.4014 Å, b = 5.4014 Å, c = 18.1246 Å
α = 90.00°, β = 90.00°, γ = 90.00°
Fractional coordinates of all 30 atoms:
Al (0.2500, 0.7500, 0.0000)
Al (0.7500, 0.2500, 0.0000)
Zn (0.9995, 0.0005, 0.1028)
Zn (0.0005, 0.9995, 0.8972)
Zn (0.0005, 0.5005, 0.1028)
Zn (0.9995, 0.4995, 0.8972)
Zn (0.0796, 0.5796, 0.4376)
Zn (0.0796, 0.9204, 0.5624)
Zn (0.2500, 0.2500, 0.2036)
Zn (0.2500, 0.2500, 0.3424)
Zn (0.2500, 0.2500, 0.6576)
Zn (0.2500, 0.2500, 0.7964)
Zn (0.4204, 0.5796, 0.5624)
Zn (0.4204, 0.9204, 0.4376)
Zn (0.4995, 0.9995, 0.1028)
Zn (0.5005, 0.0005, 0.8972)
Zn (0.5005, 0.4995, 0.1028)
Zn (0.4995, 0.5005, 0.8972)
Zn (0.5796, 0.0796, 0.5624)
Zn (0.5796, 0.4204, 0.4376)
Zn (0.7500, 0.7500, 0.2036)
Zn (0.7500, 0.7500, 0.3424)
Zn (0.7500, 0.7500, 0.6576)
Zn (0.7500, 0.7500, 0.7964)
Zn (0.9204, 0.0796, 0.4376)
Zn (0.9204, 0.4204, 0.5624)
Cd (0.2500, 0.7500, 0.2710)
Cd (0.2500, 0.7500, 0.7290)
Cd (0.7500, 0.2500, 0.2710)
Cd (0.7500, 0.2500, 0.7290)

Summary:
Its volume is 17.6 A^3/atom. Its total magnetic moment is 0.0 μB/cell. Its raw total energy is -38.631 eV for the cell shown. The calculation puts the formation enthalpy at 0 K at 0.103 eV/atom.


This record from the Alexandria database describes a geometry-optimized AlZn4Cd structure. The functional is GGA-PBE.

a = 5.2394 Å, b = 5.2394 Å, c = 5.2394 Å
α = 60.00°, β = 60.00°, γ = 60.00°
Fractional coordinates of all 6 atoms:
Al (0.0000, 0.0000, 0.0000)
Zn (0.1244, 0.6252, 0.6252)
Zn (0.6252, 0.1244, 0.6252)
Zn (0.6252, 0.6252, 0.1244)
Zn (0.6252, 0.6252, 0.6252)
Cd (0.2500, 0.2500, 0.2500)

Summary:
Its volume is 17.0 A^3/atom. Its total magnetic moment is 0.0 μB/cell. Its raw total energy is -9.215 eV for the cell shown. The calculation puts the formation enthalpy at 0 K at 0.090 eV/atom. The energy above the lowest structure with this stoichiometry is 0.0 meV/atom.


This record from the Alexandria database describes a geometry-optimized AlZn3Cd structure. The functional is GGA-PBE.

a = 4.9382 Å, b = 4.9382 Å, c = 4.9382 Å
α = 90.00°, β = 90.00°, γ = 90.00°
Fractional coordinates of all 5 atoms:
Al (0.0000, 0.0000, 0.0000)
Zn (0.0000, 0.0000, 0.5000)
Zn (0.0000, 0.5000, 0.0000)
Zn (0.5000, 0.0000, 0.0000)
Cd (0.5000, 0.5000, 0.5000)

Summary:
Its volume is 24.1 A^3/atom. Its total magnetic moment is 0.0 μB/cell. Its raw total energy is -6.519 eV for the cell shown. The calculation puts the formation enthalpy at 0 K at 0.392 eV/atom. The energy above the lowest structure with this stoichiometry is 0.0 meV/atom.


This record from the Alexandria database describes a geometry-optimized AlZn3Cd structure. The functional is GGA-PBE.

a = 5.0057 Å, b = 5.0057 Å, c = 5.0057 Å
α = 90.00°, β = 90.00°, γ = 90.00°
Fractional coordinates of all 5 atoms:
Al (0.0000, 0.0000, 0.0000)
Zn (0.0000, 0.5000, 0.5000)
Zn (0.5000, 0.0000, 0.5000)
Zn (0.5000, 0.5000, 0.0000)
Cd (0.5000, 0.5000, 0.5000)

Summary:
Its volume is 25.1 A^3/atom. Its total magnetic moment is 0.0 μB/cell. Its raw total energy is -5.321 eV for the cell shown. The calculation puts the formation enthalpy at 0 K at 0.632 eV/atom. The energy above the lowest structure with this stoichiometry is 239.6 meV/atom.


Repeat the seventh record exactly.
This record from the Alexandria database describes a geometry-optimized Al2ZnCd2 structure. The functional is GGA-PBE.

a = 4.1493 Å, b = 4.1493 Å, c = 12.6873 Å
α = 90.00°, β = 90.00°, γ = 90.00°
Fractional coordinates of all 10 atoms:
Al (0.0000, 0.0000, 0.0984)
Al (0.0000, 0.0000, 0.9016)
Al (0.5000, 0.5000, 0.4016)
Al (0.5000, 0.5000, 0.5984)
Zn (0.0000, 0.0000, 0.5000)
Zn (0.5000, 0.5000, 0.0000)
Cd (0.0000, 0.5000, 0.2500)
Cd (0.0000, 0.5000, 0.7500)
Cd (0.5000, 0.0000, 0.2500)
Cd (0.5000, 0.0000, 0.7500)

Summary:
Its volume is 21.8 A^3/atom. Its total magnetic moment is 0.0 μB/cell. Its raw total energy is -18.184 eV for the cell shown. The calculation puts the formation enthalpy at 0 K at 0.299 eV/atom. The energy above the lowest structure with this stoichiometry is 68.0 meV/atom.